No. 1
K2LaAg PBE relaxed; calculated volume = 162.4 Å³/f.u.; calculated density = 3.322 g/cm3; DOS(E_F) = 3.80 states/eV/f.u.
1.0
-4.070 -7.961 9.299
-0.965 -6.553 11.070
-4.300 -4.652 11.238
La Ag K
1 1 2
Cartesian
-2.334 -4.792 7.902
-7.001 -14.375 23.705
-0.146 -0.300 0.494
-4.522 -9.284 15.309

No. 2
KLa2Ag2 PBE relaxed; calculated volume = 154.8 Å³/f.u.; calculated density = 5.714 g/cm3; DOS(E_F) = 5.28 states/eV/f.u.
1.0
-4.171 -2.405 -7.937
3.065 -8.703 1.027
-2.982 -0.835 1.820
La Ag K
4 4 2
Cartesian
1.122 -8.471 -2.049
-1.704 -7.570 -6.266
-2.229 -2.638 -4.861
0.598 -3.538 -0.645
-1.689 -9.299 -3.491
-0.138 -6.577 0.299
-3.950 -5.367 -5.389
-2.399 -2.645 -1.600
-0.553 -5.554 -3.455
0.000 0.000 0.000

No. 3
K2LaAg PBE relaxed; calculated volume = 189.6 Å³/f.u.; calculated density = 2.846 g/cm3; DOS(E_F) = 3.49 states/eV/f.u.
1.0
-6.600 6.840 -4.615
-6.403 1.770 -8.217
4.170 -4.872 8.398
La K Ag
1 2 1
Cartesian
-4.465 3.137 -1.317
-5.317 3.521 -5.247
-1.184 0.784 -1.169
-4.367 0.601 -3.118

No. 4
K2LaAg PBE relaxed; calculated volume = 176.6 Å³/f.u.; calculated density = 3.056 g/cm3; DOS(E_F) = 1.91 states/eV/f.u.
1.0
-2.979 0.182 2.655
-2.408 -1.880 -2.573
3.137 -9.750 4.190
K La Ag
2 1 1
Cartesian
2.907 -9.036 3.883
-1.822 -3.558 1.205
1.827 -5.679 2.440
-0.457 -7.800 3.028

No. 5
K2LaAg PBE relaxed; calculated volume = 153.2 Å³/f.u.; calculated density = 3.522 g/cm3; DOS(E_F) = 3.75 states/eV/f.u.
1.0
5.987 -0.001 -0.004
-2.905 7.080 0.003
0.177 0.992 3.615
Ag K La
1 2 1
Cartesian
1.541 3.540 -0.001
0.000 0.000 0.000
3.082 0.496 1.806
-1.364 4.036 1.809

No. 6
K2LaAg PBE relaxed; calculated volume = 190.8 Å³/f.u.; calculated density = 2.829 g/cm3; DOS(E_F) = 4.99 states/eV/f.u.
1.0
-6.808 6.188 -8.197
-9.771 3.550 -6.614
-8.872 7.208 -4.599
K La Ag
2 1 1
Cartesian
-6.212 4.136 -4.737
-0.620 0.413 -0.473
-12.062 8.031 -9.198
-19.283 12.839 -14.705

Calculated energy relative to the lowest polymorph listed for this composition, 252.4, 16.5, 65.7, 0.0, 295.3, 79.2 meV/atom (same order as the records).
Calculated formation enthalpy at 0 K, 123, 1, 51, 26, 140, 56 kJ/mol of formula units (same order as the records).
Calculated magnetic moment, 0.000, 0.000, 0.002, 0.000, 0.001, 0.075 μB/f.u. (same order as the records).